LaHO2 | Alexandria | SCAN | single point on PBEsol structure; space group = No. 11; energy = -17.58 eV per atom
1.0
-2.351 -1.175 -2.873
-3.137 -0.938 2.951
-0.841 6.045 -1.785
La O H
2 4 2
Direct
0.750 0.670 0.306
0.250 0.330 0.694
0.250 0.760 0.538
0.250 0.759 0.059
0.750 0.241 0.941
0.750 0.240 0.462
0.250 0.985 0.068
0.750 0.015 0.932

LaH3O3 | Alexandria | SCAN | single point on PBEsol structure; space group = No. 176; energy = -12.42 eV per atom
1.0
-0.016 1.999 -3.214
-4.128 -4.243 -2.618
-2.254 5.147 3.212
La O H
2 6 6
Direct
0.750 0.667 0.333
0.250 0.333 0.667
0.750 0.081 0.692
0.250 0.692 0.611
0.250 0.389 0.081
0.750 0.308 0.389
0.750 0.611 0.919
0.250 0.919 0.308
0.750 0.136 0.278
0.250 0.858 0.136
0.250 0.864 0.722
0.750 0.142 0.864
0.250 0.278 0.142
0.750 0.722 0.858

La2HOsO | Alexandria | SCAN | single point on PBEsol structure; space group = No. 123; energy = -34.39 eV per atom
1.0
-2.604 0.447 2.224
2.740 -1.948 3.598
1.720 4.477 1.114
La H Os O
2 1 1 1
Direct
0.000 0.000 0.500
0.000 0.500 0.000
0.000 0.000 0.000
0.500 0.000 0.000
0.500 0.500 0.500

La2P3H3O9 | Alexandria | SCAN | single point on PBEsol structure; space group = No. 62; energy = -13.37 eV per atom
1.0
7.027 0.000 0.000
0.000 8.252 0.000
0.000 0.000 14.471
O P La H
36 12 8 12
Direct
0.171 0.067 0.531
0.829 0.933 0.031
0.387 0.872 0.886
0.613 0.128 0.114
0.569 0.649 0.750
0.285 0.573 0.159
0.329 0.567 0.531
0.715 0.427 0.659
0.285 0.573 0.341
0.387 0.872 0.614
0.931 0.149 0.750
0.613 0.128 0.386
0.785 0.927 0.659
0.887 0.628 0.114
0.329 0.567 0.969
0.113 0.372 0.886
0.003 0.663 0.928
0.503 0.837 0.072
0.215 0.073 0.159
0.003 0.663 0.572
0.997 0.337 0.072
0.171 0.067 0.969
0.431 0.351 0.250
0.215 0.073 0.341
0.671 0.433 0.469
0.069 0.851 0.250
0.497 0.163 0.572
0.715 0.427 0.841
0.497 0.163 0.928
0.785 0.927 0.841
0.997 0.337 0.428
0.829 0.933 0.469
0.671 0.433 0.031
0.113 0.372 0.614
0.503 0.837 0.428
0.887 0.628 0.386
0.888 0.966 0.750
0.165 0.549 0.897
0.335 0.049 0.603
0.665 0.951 0.397
0.165 0.549 0.603
0.665 0.951 0.103
0.388 0.534 0.250
0.112 0.034 0.250
0.612 0.466 0.750
0.835 0.451 0.397
0.335 0.049 0.897
0.835 0.451 0.103
0.349 0.300 0.072
0.349 0.300 0.428
0.651 0.700 0.928
0.849 0.200 0.572
0.151 0.800 0.428
0.151 0.800 0.072
0.849 0.200 0.928
0.651 0.700 0.572
0.560 0.624 0.250
0.233 0.609 0.688
0.733 0.891 0.312
0.733 0.891 0.188
0.060 0.876 0.750
0.233 0.609 0.812
0.267 0.109 0.688
0.440 0.376 0.750
0.767 0.391 0.312
0.267 0.109 0.812
0.940 0.124 0.250
0.767 0.391 0.188

RbLaH2O | Alexandria | SCAN | single point on PBEsol structure; space group = No. 123; energy = -15.60 eV per atom
1.0
-3.550 2.201 0.376
-2.075 -2.992 -2.081
-0.998 -2.359 4.387
Rb H La O
1 2 1 1
Direct
0.000 0.000 0.000
0.500 0.000 0.000
0.000 0.500 0.000
0.500 0.500 0.500
0.000 0.000 0.500

LaH3S3O12 | Alexandria | SCAN | single point on PBEsol structure; space group = No. 173; energy = -10.08 eV per atom
1.0
5.832 0.000 0.000
0.000 9.470 0.000
0.000 -4.735 8.201
S O La H
6 24 2 6
Direct
0.252 0.391 0.302
0.252 0.911 0.609
0.252 0.698 0.089
0.752 0.089 0.391
0.752 0.609 0.698
0.752 0.302 0.911
0.062 0.462 0.258
0.972 0.177 0.419
0.472 0.419 0.242
0.562 0.538 0.742
0.756 0.558 0.525
0.724 0.798 0.798
0.972 0.242 0.823
0.562 0.258 0.796
0.562 0.204 0.462
0.756 0.475 0.033
0.756 0.967 0.442
0.062 0.742 0.204
0.724 0.000 0.202
0.724 0.202 0.000
0.224 0.000 0.798
0.472 0.823 0.581
0.224 0.798 0.000
0.472 0.758 0.177
0.256 0.033 0.558
0.062 0.796 0.538
0.224 0.202 0.202
0.256 0.525 0.967
0.256 0.442 0.475
0.972 0.581 0.758
0.261 0.333 0.667
0.761 0.667 0.333
0.116 0.169 0.264
0.116 0.736 0.904
0.616 0.904 0.169
0.116 0.096 0.831
0.616 0.831 0.736
0.616 0.264 0.096

LaH2Os | Alexandria | SCAN | single point on PBEsol structure; space group = No. 122; energy = -30.55 eV per atom
1.0
4.308 0.000 0.000
0.000 4.308 0.000
-2.154 -2.154 5.578
H La Os
4 2 2
Direct
0.125 0.957 0.750
0.043 0.375 0.250
0.207 0.875 0.250
0.625 0.793 0.750
0.500 0.500 0.000
0.750 0.250 0.500
0.250 0.750 0.500
0.000 0.000 0.000

La2H2Pb | Alexandria | SCAN | single point on PBEsol structure; space group = No. 139; energy = -34.64 eV per atom
1.0
-3.630 -0.140 2.210
2.051 -1.816 3.252
1.858 5.883 -0.666
La H Pb
2 2 1
Direct
0.651 0.651 0.302
0.349 0.349 0.698
0.750 0.250 0.500
0.250 0.750 0.500
0.000 0.000 0.000

LaSb2HPb | Alexandria | SCAN | single point on PBEsol structure; space group = No. 123; energy = -38.46 eV per atom
1.0
5.990 0.000 0.000
0.000 5.990 0.000
0.000 0.000 6.181
Sb La H Pb
2 1 1 1
Direct
0.000 0.500 0.000
0.500 0.000 0.000
0.000 0.000 0.000
0.500 0.500 0.500
0.000 0.000 0.500

LaH3Pd | Alexandria | SCAN | single point on PBEsol structure; space group = No. 221; energy = -17.83 eV per atom
1.0
-2.255 0.785 -2.936
-3.004 -0.026 2.301
0.457 3.702 0.639
H La Pd
3 1 1
Direct
0.000 0.500 0.000
0.000 0.000 0.500
0.500 0.000 0.000
0.500 0.500 0.500
0.000 0.000 0.000

La3HPd | Alexandria | SCAN | single point on PBEsol structure; space group = No. 221; energy = -33.35 eV per atom
1.0
4.872 0.000 0.000
0.000 4.872 0.000
0.000 0.000 4.872
H La Pd
1 3 1
Direct
0.000 0.000 0.000
0.000 0.500 0.000
0.000 0.000 0.500
0.500 0.000 0.000
0.500 0.500 0.500

LaH2Pd2 | Alexandria | SCAN | single point on PBEsol structure; space group = No. 139; energy = -23.63 eV per atom
1.0
-0.122 0.139 -3.828
2.201 -3.132 -0.184
-4.686 -1.068 2.029
Pd H La
2 2 1
Direct
0.329 0.329 0.657
0.671 0.671 0.343
0.250 0.750 0.500
0.750 0.250 0.500
0.000 0.000 0.000